The following is a DFT calculation (PBE) of KCuPd2 after structural relaxation.

As for the energy of formation: 0.391 eV per atom. The calculation puts the total energy at -14.0 eV/f.u.

Cell and atoms, written as CIF:
```
data_KCuPd2
_chemical_formula_sum 'K4 Cu4 Pd8'
_cell_length_a 6.628
_cell_length_b 6.628
_cell_length_c 6.628
_cell_angle_alpha 90.00
_cell_angle_beta 90.00
_cell_angle_gamma 90.00
_space_group_name_H-M_alt 'F m -3 m'
_space_group_IT_number 225
_space_group_name_Hall '-F 4 2 3'
loop_
_atom_site_label
_atom_site_fract_x
_atom_site_fract_y
_atom_site_fract_z
K1 0.000 0.000 0.000
Cu1 0.000 0.000 0.500
Pd1 0.250 0.250 0.250
```

***

The following is a DFT calculation (PBE) of K2Cu2Pd after structural relaxation.

As for the energy of formation: 0.631 eV per atom. The calculation puts the total energy at -12.4 eV/f.u.

Cell and atoms, written as CIF:
```
data_K2Cu2Pd
_chemical_formula_sum 'K4 Cu4 Pd2'
_cell_length_a 9.481
_cell_length_b 9.481
_cell_length_c 2.839
_cell_angle_alpha 90.00
_cell_angle_beta 90.00
_cell_angle_gamma 90.00
_space_group_name_H-M_alt 'P 4/m b m'
_space_group_IT_number 127
_space_group_name_Hall '-P 4 2ab'
loop_
_atom_site_label
_atom_site_fract_x
_atom_site_fract_y
_atom_site_fract_z
K1 0.200 0.300 0.000
Cu1 0.088 0.588 0.500
Pd1 0.000 0.000 0.000
```

***

The following is a DFT calculation (PBE) of KCuPd after structural relaxation.

As for the energy of formation: 0.392 eV per atom. The calculation puts the total energy at -9.2 eV/f.u.

Cell and atoms, written as CIF:
```
data_KCuPd
_chemical_formula_sum 'K1 Cu1 Pd1'
_cell_length_a 4.9137
_cell_length_b 4.9137
_cell_length_c 2.9513
_cell_angle_alpha 90.00
_cell_angle_beta 90.00
_cell_angle_gamma 120.00
_space_group_name_H-M_alt 'P -6 m 2'
_space_group_IT_number 187
_space_group_name_Hall 'P -6 2'
loop_
_atom_site_label
_atom_site_fract_x
_atom_site_fract_y
_atom_site_fract_z
K1 0.0000 0.0000 0.0000
Cu1 0.6667 0.3333 0.5000
Pd1 0.3333 0.6667 0.5000
```

***

The following is a DFT calculation (PBE) of K2CuPd after structural relaxation.

As for the energy of formation: 0.249 eV per atom. The calculation puts the total energy at -10.5 eV/f.u.

Cell and atoms, written as CIF:
```
data_K2CuPd
_chemical_formula_sum 'K8 Cu4 Pd4'
_cell_length_a 11.963
_cell_length_b 11.963
_cell_length_c 4.911
_cell_angle_alpha 90.00
_cell_angle_beta 90.00
_cell_angle_gamma 90.00
_space_group_name_H-M_alt 'I -4 2 d'
_space_group_IT_number 122
_space_group_name_Hall 'I -4 2bw'
loop_
_atom_site_label
_atom_site_fract_x
_atom_site_fract_y
_atom_site_fract_z
K1 0.049 0.250 0.125
Cu1 0.000 0.000 0.500
Pd1 0.000 0.000 0.000
```

***

The following is a DFT calculation (PBE) of K2Cu2Pd after structural relaxation.

As for the energy of formation: 0.292 eV per atom. The calculation puts the total energy at -14.1 eV/f.u.

Cell and atoms, written as CIF:
```
data_K2Cu2Pd
_chemical_formula_sum 'K4 Cu4 Pd2'
_cell_length_a 3.416
_cell_length_b 3.416
_cell_length_c 20.775
_cell_angle_alpha 90.00
_cell_angle_beta 90.00
_cell_angle_gamma 90.00
_space_group_name_H-M_alt 'I 4/m m m'
_space_group_IT_number 139
_space_group_name_Hall '-I 4 2'
loop_
_atom_site_label
_atom_site_fract_x
_atom_site_fract_y
_atom_site_fract_z
K1 0.000 0.000 0.107
Cu1 0.000 0.500 0.250
Pd1 0.000 0.000 0.500
```

***

The following is a DFT calculation (PBE) of KCuPd after structural relaxation.

As for the energy of formation: 0.095 eV per atom. The calculation puts the total energy at -10.1 eV/f.u.

Cell and atoms, written as CIF:
```
data_KCuPd
_chemical_formula_sum 'K4 Cu4 Pd4'
_cell_length_a 8.351
_cell_length_b 3.930
_cell_length_c 10.745
_cell_angle_alpha 90.00
_cell_angle_beta 100.39
_cell_angle_gamma 90.00
_space_group_name_H-M_alt 'C 1 2/m 1'
_space_group_IT_number 12
loop_
_space_group_symop_operation_xyz
'x,y,z'
'-x,-y,-z'
'-x,y,-z'
'x,-y,z'
'x+1/2,y+1/2,z'
'-x+1/2,-y+1/2,-z'
'-x+1/2,y+1/2,-z'
'x+1/2,-y+1/2,z'
loop_
_atom_site_label
_atom_site_fract_x
_atom_site_fract_y
_atom_site_fract_z
K1 0.191 0.000 0.205
Cu1 0.074 0.000 0.604
Pd1 0.138 0.500 0.452
```

***

no.,DOS at the Fermi energy (states/eV per atom),excess energy over the best structure of this formula in the dataset (meV/atom)
1,0.3257,33
2,0.7929,377
3,0.3112,297
4,0.5450,0
5,0.2991,37
6,0.6343,0